[1]
{"formula": "CaCrAs2", "functional": "PBE", "state": "relaxed", "vol_a3_per_cell": 90.3, "formation_energy_ev_per_atom": -0.281, "total_magnetization_mub_per_fu": 3.807, "e_above_lowest_polymorph_ev_per_fu": 1.18, "lattice": [[-3.788, 1.146, -3.815], [-5.296, -1.215, -0.831], [-1.895, 3.527, 1.832]], "species": ["Cr", "As", "As", "Ca"], "frac_coords": [[0.233, 0.233, 0.221], [0.992, 0.992, 0.120], [0.782, 0.782, 0.536], [0.492, 0.492, 0.622]]}

[2]
{"formula": "CaCr2As", "functional": "PBE", "state": "relaxed", "vol_a3_per_cell": 79.1, "formation_energy_ev_per_atom": -0.024, "total_magnetization_mub_per_fu": 0.602, "lattice": [[-2.119, -0.216, 3.402], [-2.767, -0.030, -1.726], [-0.531, -6.039, -0.714]], "species": ["Cr", "Cr", "As", "Ca"], "frac_coords": [[0.000, 0.945, 0.139], [0.500, 0.408, 0.194], [0.000, 0.357, 0.460], [0.500, 0.789, 0.707]]}

[3]
{"formula": "CaCr2As", "functional": "PBE", "state": "relaxed", "vol_a3_per_cell": 68.9, "formation_energy_ev_per_atom": 0.323, "total_magnetization_mub_per_fu": 0.002, "lattice": [[3.300, 0.000, 0.000], [0.000, 3.300, 0.000], [0.000, 0.000, 6.322]], "species": ["Cr", "Cr", "As", "Ca"], "frac_coords": [[0.000, 0.000, 0.083], [0.000, 0.000, 0.417], [0.500, 0.500, 0.250], [0.500, 0.500, 0.750]]}

[4]
{"formula": "CaCrAs2", "functional": "PBE", "state": "relaxed", "vol_a3_per_cell": 82.9, "formation_energy_ev_per_atom": -0.388, "total_magnetization_mub_per_fu": 2.388, "e_above_lowest_polymorph_ev_per_fu": 0.75, "lattice": [[-3.754, -5.354, 3.169], [-0.577, -7.243, -0.084], [3.860, 6.151, 0.237]], "species": ["Cr", "As", "As", "Ca"], "frac_coords": [[0.203, 0.703, 0.500], [0.072, 0.072, 0.000], [0.774, 0.274, 0.500], [0.450, 0.450, 0.000]]}

[5]
{"formula": "CaCr2As2", "functional": "PBE", "state": "relaxed", "vol_a3_per_cell": 88.3, "formation_energy_ev_per_atom": -0.284, "total_magnetization_mub_per_fu": 0.000, "e_above_lowest_polymorph_ev_per_fu": 0.71, "lattice": [[4.664, 0.000, 0.000], [0.000, 4.664, 0.000], [2.332, 2.332, 4.059]], "species": ["Cr", "Cr", "As", "As", "Ca"], "frac_coords": [[0.385, 0.385, 0.229], [0.615, 0.615, 0.771], [0.750, 0.250, 0.500], [0.250, 0.750, 0.500], [0.000, 0.000, 0.000]]}

[6]
{"formula": "CaCrAs", "functional": "PBE", "state": "relaxed", "vol_a3_per_cell": 72.3, "formation_energy_ev_per_atom": -0.284, "total_magnetization_mub_per_fu": 4.808, "lattice": [[4.677, 0.000, 0.000], [2.338, 4.050, 0.000], [2.338, 1.350, 3.818]], "species": ["Cr", "As", "Ca"], "frac_coords": [[0.500, 0.500, 0.500], [0.750, 0.750, 0.750], [0.000, 0.000, 0.000]]}

[7]
{"formula": "CaCr2As", "functional": "PBE", "state": "relaxed", "vol_a3_per_cell": 75.4, "formation_energy_ev_per_atom": 0.055, "total_magnetization_mub_per_fu": 0.576, "lattice": [[-1.197, -1.695, 2.601], [-1.791, -1.900, -2.063], [5.191, -4.383, -0.468]], "species": ["Cr", "Cr", "As", "Ca"], "frac_coords": [[0.000, 0.000, 0.078], [0.500, 0.500, 0.235], [0.000, 0.000, 0.448], [0.500, 0.500, 0.739]]}

[8]
{"formula": "CaCr2As", "functional": "PBE", "state": "relaxed", "vol_a3_per_cell": 74.3, "formation_energy_ev_per_atom": 0.146, "total_magnetization_mub_per_fu": 0.830, "lattice": [[4.718, 0.000, 0.000], [2.359, 4.086, 0.000], [2.359, 1.362, 3.853]], "species": ["Cr", "Cr", "As", "Ca"], "frac_coords": [[0.000, 0.000, 0.000], [0.250, 0.250, 0.250], [0.500, 0.500, 0.500], [0.750, 0.750, 0.750]]}

[9]
{"formula": "CaLaCrAs2", "functional": "PBE", "state": "relaxed", "vol_a3_per_cell": 126.5, "formation_energy_ev_per_atom": 0.631, "total_magnetization_mub_per_fu": 0.186, "lattice": [[5.316, 0.000, 0.000], [0.000, 4.475, 0.000], [0.000, 0.000, 5.316]], "species": ["Cr", "As", "As", "Ca", "La"], "frac_coords": [[0.000, 0.500, 0.000], [0.000, 0.000, 0.500], [0.500, 0.000, 0.000], [0.000, 0.000, 0.000], [0.500, 0.500, 0.500]]}

[10]
{"formula": "CaMn2CrAs", "functional": "PBE", "state": "relaxed", "vol_a3_per_cell": 127.2, "formation_energy_ev_per_atom": 1.639, "total_magnetization_mub_per_fu": 12.585, "lattice": [[-0.375, 2.488, -4.240], [-0.926, -4.478, -2.546], [-4.838, 0.568, 0.761]], "species": ["Cr", "As", "Mn", "Mn", "Ca"], "frac_coords": [[0.500, 0.500, 0.500], [0.000, 0.500, 0.000], [0.000, 0.000, 0.500], [0.500, 0.000, 0.000], [0.000, 0.000, 0.000]]}

[11]
{"formula": "CaCr2MoAs", "functional": "PBE", "state": "relaxed", "vol_a3_per_cell": 97.2, "formation_energy_ev_per_atom": 0.936, "total_magnetization_mub_per_fu": 1.043, "lattice": [[-4.390, -0.757, 0.780], [0.608, -4.599, -1.042], [0.920, -0.862, 4.343]], "species": ["Cr", "Cr", "Mo", "Ca", "As"], "frac_coords": [[0.000, 0.000, 0.500], [0.500, 0.000, 0.000], [0.000, 0.500, 0.000], [0.500, 0.500, 0.500], [0.000, 0.000, 0.000]]}

[12]
{"formula": "CaCrNiAs2", "functional": "PBE", "state": "relaxed", "vol_a3_per_cell": 91.1, "formation_energy_ev_per_atom": -0.579, "total_magnetization_mub_per_fu": 1.953, "e_above_lowest_polymorph_ev_per_fu": 0.00, "lattice": [[3.901, 0.000, 0.000], [0.000, 3.901, 0.000], [-1.951, -1.951, 5.983]], "species": ["Ca", "Cr", "Ni", "As", "As"], "frac_coords": [[0.000, 0.000, 0.000], [0.750, 0.250, 0.500], [0.250, 0.750, 0.500], [0.632, 0.632, 0.265], [0.368, 0.368, 0.735]]}

[13]
{"formula": "CaCrNiAs2", "functional": "PBE", "state": "relaxed", "vol_a3_per_cell": 140.6, "formation_energy_ev_per_atom": 1.528, "total_magnetization_mub_per_fu": 5.210, "e_above_lowest_polymorph_ev_per_fu": 10.53, "lattice": [[5.229, 0.000, 0.000], [0.000, 5.142, 0.000], [0.000, 0.000, 5.229]], "species": ["Ni", "As", "As", "Ca", "Cr"], "frac_coords": [[0.500, 0.500, 0.500], [0.000, 0.000, 0.500], [0.500, 0.000, 0.000], [0.000, 0.000, 0.000], [0.000, 0.500, 0.000]]}

[14]
{"formula": "Ca2CrNi3As4", "functional": "PBE", "state": "relaxed", "vol_a3_per_cell": 170.5, "formation_energy_ev_per_atom": -0.617, "total_magnetization_mub_per_fu": 2.507, "lattice": [[-3.409, 2.323, 0.197], [-2.198, -3.088, -1.639], [-1.875, -3.528, 9.162]], "species": ["Ca", "Ca", "Cr", "Ni", "Ni", "Ni", "As", "As", "As", "As"], "frac_coords": [[0.500, 0.000, 0.243], [0.000, 0.500, 0.757], [0.500, 0.500, 0.500], [0.000, 0.000, 0.500], [0.500, 0.000, 0.877], [0.000, 0.500, 0.123], [0.500, 0.500, 0.000], [0.000, 0.000, 0.000], [0.500, 0.000, 0.639], [0.000, 0.500, 0.361]]}